[1]
Compound: CoRe2Mo
Source: Alexandria via LeMat-Bulk
Functional: PBE-GGA
Structure: relaxed

Properties
ΔH_f (0 K) in kJ/mol of formula units: 52.8
Crystal system: monoclinic

Unit cell a=4.6747 b=4.6747 c=4.7349 alpha=80.54 beta=80.54 gamma=33.90
With the nearest neighbours (Å) after each atom.
Fractional coordinates of all 4 atoms:
Co  0.5031  0.5031  0.4970  7 Re 2.63-2.78, 3 Mo 2.68-2.69, 2 Co 2.73
Mo  0.7550  0.7550  0.7363  7 Re 2.66-2.80, 3 Co 2.68-2.69, 2 Mo 2.73
Re  0.9980  0.9980  0.0100  5 Re 2.66-2.73, 4 Co 2.69-2.78, 3 Mo 2.71-2.79
Re  0.2438  0.2438  0.2568  3 Co 2.63-2.75, 5 Re 2.66-2.73, 4 Mo 2.66-2.80

[2]
Compound: Tb6Ho12Zr
Source: Alexandria via LeMat-Bulk
Functional: PBE-GGA
Structure: relaxed

Properties
ΔH_f (0 K) in kJ/mol of formula units: 455.2
Crystal system: trigonal

Unit cell a=8.5933 b=8.5933 c=8.5933 alpha=98.57 beta=98.57 gamma=98.57
With the nearest neighbours (Å) after each atom.
Fractional coordinates of all 19 atoms:
Tb  0.9061  0.3351  0.9061  3 Tb 3.12-3.45, 1 Zr 3.28, 2 Ho 3.46
Tb  0.9061  0.9061  0.3351  3 Tb 3.12-3.45, 1 Zr 3.28, 2 Ho 3.46
Tb  0.3351  0.9061  0.9061  3 Tb 3.12-3.45, 1 Zr 3.28, 2 Ho 3.46
Tb  0.0939  0.0939  0.6649  3 Tb 3.12-3.45, 1 Zr 3.28, 2 Ho 3.46
Tb  0.0939  0.6649  0.0939  3 Tb 3.12-3.45, 1 Zr 3.28, 2 Ho 3.46
Tb  0.6649  0.0939  0.0939  3 Tb 3.12-3.45, 1 Zr 3.28, 2 Ho 3.46
Ho  0.7564  0.2436  0.5000  6 Ho 3.31-3.52, 4 Tb 3.46-3.54
Ho  0.3515  0.0821  0.3515  6 Ho 3.31-3.52
Ho  0.3515  0.3515  0.0821  6 Ho 3.31-3.52
Ho  0.9179  0.6485  0.6485  6 Ho 3.31-3.52
Ho  0.6485  0.6485  0.9179  6 Ho 3.31-3.52
Ho  0.6485  0.9179  0.6485  6 Ho 3.31-3.52
Ho  0.5000  0.7564  0.2436  6 Ho 3.31-3.52, 4 Tb 3.46-3.54
Ho  0.2436  0.5000  0.7564  6 Ho 3.31-3.52, 4 Tb 3.46-3.54
Ho  0.2436  0.7564  0.5000  6 Ho 3.31-3.52, 4 Tb 3.46-3.54
Ho  0.5000  0.2436  0.7564  6 Ho 3.31-3.52, 4 Tb 3.46-3.54
Ho  0.7564  0.5000  0.2436  6 Ho 3.31-3.52, 4 Tb 3.46-3.54
Ho  0.0821  0.3515  0.3515  6 Ho 3.31-3.52
Zr  0.0000  0.0000  0.0000  6 Tb 3.28

[3]
Compound: CaPd2N
Source: Alexandria via LeMat-Bulk
Functional: PBE-GGA
Structure: relaxed

Properties
Crystal system: tetragonal
Energy relative to the elements, uncorrected in meV per atom: -73

Unit cell a=5.1096 b=5.1096 c=7.2278 alpha=69.30 beta=69.30 gamma=90.00
With the nearest neighbours (Å) after each atom.
Fractional coordinates of all 8 atoms:
Ca  0.0000  0.0000  0.0000  8 Pd 3.26, 4 N 3.61
Ca  0.7500  0.2500  0.5000  8 Pd 3.26, 4 N 3.61
Pd  0.3746  0.1250  0.2500  2 N 2.02
Pd  0.3754  0.6250  0.2500  2 N 2.02
Pd  0.3750  0.6254  0.7500  2 N 2.02
Pd  0.8750  0.6246  0.7500  2 N 2.02
N  0.5000  0.5000  0.0000  4 Pd 2.02
N  0.2500  0.7500  0.5000  4 Pd 2.02

[4]
Compound: NaGdYTl
Source: Alexandria via LeMat-Bulk
Functional: PBE-GGA
Structure: relaxed

Properties
ΔH_f (0 K) in kJ/mol of formula units: -34.8
Crystal system: cubic

Unit cell a=5.4281 b=5.4281 c=5.4281 alpha=60.00 beta=60.00 gamma=60.00
With the nearest neighbours (Å) after each atom.
Fractional coordinates of all 4 atoms:
Y  0.0000  0.0000  0.0000  4 Tl 3.32, 4 Na 3.32
Na  0.7500  0.7500  0.7500  4 Gd 3.32, 4 Y 3.32
Tl  0.2500  0.2500  0.2500  4 Y 3.32, 4 Gd 3.32
Gd  0.5000  0.5000  0.5000  4 Tl 3.32, 4 Na 3.32

[5]
Compound: Cu2Ag2I7
Source: Alexandria via LeMat-Bulk
Functional: PBE-GGA
Structure: relaxed

Properties
Crystal system: monoclinic
Energy relative to the elements, uncorrected in meV per atom: -73

Unit cell a=7.7749 b=8.7915 c=7.7749 alpha=87.27 beta=60.35 gamma=92.73
With the nearest neighbours (Å) after each atom.
Fractional coordinates of all 11 atoms:
Cu  0.2476  0.7236  0.7524  4 I 2.57-2.62
Cu  0.7524  0.2764  0.2476  4 I 2.57-2.62
Ag  0.6668  0.0000  0.6668  4 I 2.82-3.09
Ag  0.3332  0.0000  0.3332  4 I 2.82-3.09
I  0.0136  0.8045  0.6256  1 Cu 2.57, 1 Ag 2.82
I  0.3744  0.8045  0.9864  1 Cu 2.57, 1 Ag 2.82
I  0.4223  0.2259  0.5777  1 Cu 2.58
I  0.0000  0.5000  0.0000  2 Cu 2.62
I  0.5777  0.7741  0.4223  1 Cu 2.58
I  0.9864  0.1955  0.3744  1 Cu 2.57, 1 Ag 2.82
I  0.6256  0.1955  0.0136  1 Cu 2.57, 1 Ag 2.82

[6]
Compound: YHo2Hg
Source: Alexandria via LeMat-Bulk
Functional: PBE-GGA
Structure: relaxed

Properties
ΔH_f (0 K) in kJ/mol of formula units: -61.8
Crystal system: trigonal

Unit cell a=3.6018 b=3.6018 c=10.7389 alpha=80.35 beta=80.35 gamma=60.00
With the nearest neighbours (Å) after each atom.
Fractional coordinates of all 4 atoms:
Y  0.5000  0.5000  0.5000  6 Ho 3.55, 6 Y 3.60
Hg  0.0000  0.0000  0.0000  6 Ho 3.17
Ho  0.2575  0.2575  0.2275  3 Hg 3.17, 3 Y 3.55
Ho  0.7425  0.7425  0.7725  3 Hg 3.17, 3 Y 3.55